Density functional theory data (GGA-PBE) for crystalline K3SrPt at its relaxed geometry.

Cell and atoms, written as CIF:
```
data_K3SrPt
_chemical_formula_sum 'K3 Sr1 Pt1'
_cell_length_a 7.215
_cell_length_b 7.215
_cell_length_c 7.215
_cell_angle_alpha 90.00
_cell_angle_beta 90.00
_cell_angle_gamma 90.00
_space_group_name_H-M_alt 'P m -3 m'
_space_group_IT_number 221
_space_group_name_Hall '-P 4 2 3'
loop_
_atom_site_label
_atom_site_type_symbol
_atom_site_fract_x
_atom_site_fract_y
_atom_site_fract_z
K1 K 0.000 0.000 0.500
Sr1 Sr 0.000 0.000 0.000
Pt1 Pt 0.500 0.500 0.500
```

## Properties
energy relative to the elements = 5.62 eV per formula unit
M_tot = 0.9 μB per formula unit
DOS at the Fermi energy = 7.87 states/eV/cell
ΔE to the lowest computed polymorph = 938 meV/atom
raw total energy = -5.4 eV per cell